(1)
# Ba3SrIn2O6 | Alexandria | GGA-PBE | relaxed
data_Ba3SrIn2O6
_chemical_formula_sum 'Ba3 Sr1 In2 O6'
_cell_length_a 6.4346
_cell_length_b 6.4346
_cell_length_c 7.1210
_cell_angle_alpha 90.00
_cell_angle_beta 90.00
_cell_angle_gamma 120.00
_space_group_name_H-M_alt 'P -3 m 1'
_space_group_IT_number 164
_space_group_name_Hall '-P 3 2"'
loop_
_atom_site_label
_atom_site_type_symbol
_atom_site_fract_x
_atom_site_fract_y
_atom_site_fract_z
_atom_site_occupancy
Ba1 Ba 0.0000 0.0000 0.0000 1
Ba2 Ba 0.3333 0.6667 0.6135 1
Sr1 Sr 0.0000 0.0000 0.5000 1
In1 In 0.3333 0.6667 0.1446 1
O1 O 0.1726 0.3452 0.2944 1
# E_form (uncorrected) in eV/atom: -1.983
# E in eV per atom: -5.539
# Volume in Å³/cell: 255

---

(2)
# BaSr2In2O6 | Alexandria | GGA-PBE | relaxed
data_BaSr2In2O6
_chemical_formula_sum 'Ba2 Sr4 In4 O12'
_cell_length_a 4.190
_cell_length_b 4.190
_cell_length_c 21.007
_cell_angle_alpha 90.00
_cell_angle_beta 90.00
_cell_angle_gamma 90.00
_space_group_name_H-M_alt 'I 4 m m'
_space_group_IT_number 107
_space_group_name_Hall 'I 4 -2'
loop_
_atom_site_label
_atom_site_type_symbol
_atom_site_fract_x
_atom_site_fract_y
_atom_site_fract_z
_atom_site_occupancy
Ba1 Ba 0.000 0.000 0.000 1
Sr1 Sr 0.000 0.000 0.184 1
Sr2 Sr 0.000 0.000 0.365 1
In1 In 0.000 0.000 0.584 1
In2 In 0.000 0.000 0.781 1
O1 O 0.000 0.000 0.482 1
O2 O 0.000 0.000 0.881 1
O3 O 0.000 0.500 0.105 1
O4 O 0.000 0.500 0.263 1
# E_form (uncorrected) in eV/atom: -2.158
# E in eV per atom: -5.841
# Volume in Å³/cell: 369

---

(3)
# Ba2SrInO | Alexandria | GGA-PBE | relaxed
data_Ba2SrInO
_chemical_formula_sum 'Ba2 Sr1 In1 O1'
_cell_length_a 5.658
_cell_length_b 5.658
_cell_length_c 5.096
_cell_angle_alpha 90.00
_cell_angle_beta 90.00
_cell_angle_gamma 90.00
_space_group_name_H-M_alt 'P 4/m m m'
_space_group_IT_number 123
_space_group_name_Hall '-P 4 2'
loop_
_atom_site_label
_atom_site_type_symbol
_atom_site_fract_x
_atom_site_fract_y
_atom_site_fract_z
_atom_site_occupancy
Ba1 Ba 0.000 0.500 0.000 1
Sr1 Sr 0.000 0.000 0.500 1
In1 In 0.500 0.500 0.500 1
O1 O 0.000 0.000 0.000 1
# E_form (uncorrected) in eV/atom: -1.224
# E in eV per atom: -3.868
# Volume in Å³/cell: 163

---

(4)
# Ba4Ta3InO12 | Alexandria | GGA-PBE | relaxed
data_Ba4Ta3InO12
_chemical_formula_sum 'Ba8 Ta6 In2 O24'
_cell_length_a 8.335
_cell_length_b 8.335
_cell_length_c 8.335
_cell_angle_alpha 90.00
_cell_angle_beta 90.00
_cell_angle_gamma 90.00
_space_group_name_H-M_alt 'I m -3 m'
_space_group_IT_number 229
_space_group_name_Hall '-I 4 2 3'
loop_
_atom_site_label
_atom_site_type_symbol
_atom_site_fract_x
_atom_site_fract_y
_atom_site_fract_z
_atom_site_occupancy
Ba1 Ba 0.250 0.250 0.250 1
Ta1 Ta 0.000 0.000 0.500 1
In1 In 0.000 0.000 0.000 1
O1 O 0.000 0.000 0.260 1
O2 O 0.000 0.250 0.500 1
# E_form (uncorrected) in eV/atom: -2.721
# E in eV per atom: -7.995
# Volume in Å³/cell: 579

---

(5)
# Ba2TbInO5 | Alexandria | GGA-PBE | relaxed
data_Ba2TbInO5
_chemical_formula_sum 'Ba8 Tb4 In4 O20'
_cell_length_a 3.632
_cell_length_b 14.571
_cell_length_c 11.808
_cell_angle_alpha 90.00
_cell_angle_beta 90.00
_cell_angle_gamma 90.00
_space_group_name_H-M_alt 'C m c 21'
_space_group_IT_number 36
_space_group_name_Hall 'C 2c -2'
loop_
_atom_site_label
_atom_site_type_symbol
_atom_site_fract_x
_atom_site_fract_y
_atom_site_fract_z
_atom_site_occupancy
Ba1 Ba 0.000 0.102 0.000 1
Ba2 Ba 0.000 0.143 0.606 1
Tb1 Tb 0.000 0.217 0.327 1
In1 In 0.000 0.476 0.769 1
O1 O 0.000 0.055 0.355 1
O2 O 0.000 0.279 0.953 1
O3 O 0.000 0.317 0.707 1
O4 O 0.000 0.372 0.309 1
O5 O 0.000 0.492 0.098 1
# E_form (uncorrected) in eV/atom: -2.534
# E in eV per atom: -6.535
# Volume in Å³/cell: 625

---

(6)
# BaTb2InO5 | Alexandria | GGA-PBE | relaxed
data_BaTb2InO5
_chemical_formula_sum 'Ba2 Tb4 In2 O10'
_cell_length_a 4.057
_cell_length_b 5.946
_cell_length_c 11.713
_cell_angle_alpha 90.00
_cell_angle_beta 90.00
_cell_angle_gamma 90.00
_space_group_name_H-M_alt 'I m m m'
_space_group_IT_number 71
_space_group_name_Hall '-I 2 2'
loop_
_atom_site_label
_atom_site_type_symbol
_atom_site_fract_x
_atom_site_fract_y
_atom_site_fract_z
_atom_site_occupancy
Ba1 Ba 0.000 0.000 0.000 1
Tb1 Tb 0.000 0.500 0.216 1
In1 In 0.000 0.000 0.500 1
O1 O 0.000 0.236 0.350 1
O2 O 0.000 0.500 0.000 1
# E_form (uncorrected) in eV/atom: -2.563
# E in eV per atom: -6.864
# Volume in Å³/cell: 283

---

(7)
# Ba3TbIn2O8 | Alexandria | GGA-PBE | relaxed
data_Ba3TbIn2O8
_chemical_formula_sum 'Ba3 Tb1 In2 O8'
_cell_length_a 6.2086
_cell_length_b 6.2086
_cell_length_c 7.8762
_cell_angle_alpha 90.00
_cell_angle_beta 90.00
_cell_angle_gamma 120.00
_space_group_name_H-M_alt 'P -3 m 1'
_space_group_IT_number 164
_space_group_name_Hall '-P 3 2"'
loop_
_atom_site_label
_atom_site_type_symbol
_atom_site_fract_x
_atom_site_fract_y
_atom_site_fract_z
_atom_site_occupancy
Ba1 Ba 0.0000 0.0000 0.0000 1
Ba2 Ba 0.3333 0.6667 0.6340 1
Tb1 Tb 0.0000 0.0000 0.5000 1
In1 In 0.3333 0.6667 0.1960 1
O1 O 0.1641 0.3283 0.3233 1
O2 O 0.3333 0.6667 0.9428 1
# E_form (uncorrected) in eV/atom: -2.182
# E in eV per atom: -6.149
# Volume in Å³/cell: 263

---

(8)
# BaTbIn4O8 | Alexandria | GGA-PBE | relaxed
data_BaTbIn4O8
_chemical_formula_sum 'Ba3 Tb3 In12 O24'
_cell_length_a 6.8184
_cell_length_b 6.8184
_cell_length_c 17.0006
_cell_angle_alpha 90.00
_cell_angle_beta 90.00
_cell_angle_gamma 120.00
_space_group_name_H-M_alt 'R 3 m'
_space_group_IT_number 160
_space_group_name_Hall 'R 3 -2"'
loop_
_atom_site_label
_atom_site_type_symbol
_atom_site_fract_x
_atom_site_fract_y
_atom_site_fract_z
_atom_site_occupancy
Ba1 Ba 0.0000 0.0000 0.0000 1
Tb1 Tb 0.0000 0.0000 0.6270 1
In1 In 0.0000 0.0000 0.2491 1
In2 In 0.1685 0.3371 0.4583 1
O1 O 0.0000 0.0000 0.3907 1
O2 O 0.0000 0.0000 0.8532 1
O3 O 0.0549 0.5275 0.3844 1
O4 O 0.1783 0.3567 0.2028 1
# E_form (uncorrected) in eV/atom: -1.951
# E in eV per atom: -6.035
# Volume in Å³/cell: 684